Record 1
HfAgPd2 (PBE, relaxed); volume = 19.0 A^3/atom; density of states at the Fermi level = 0.55 states/eV/atom; size of the total moment = 0.0 μB/cell; E above lowest polymorph = 0.305 eV per atom; total energy = -6.04 eV/atom; formation energy from the elements = -0.25 eV/atom
1.0
2.990 0.000 0.000
0.000 4.740 0.000
-1.495 0.000 10.696
Hf Ag Pd
2 2 4
direct
0.702 0.750 0.403
0.298 0.250 0.597
0.966 0.750 0.931
0.034 0.250 0.069
0.827 0.750 0.654
0.098 0.750 0.197
0.173 0.250 0.346
0.902 0.250 0.803

Record 2
Ca5DyCd4 (PBE, relaxed); volume = 29.9 A^3/atom; density of states at the Fermi level = 1.22 states/eV/atom; size of the total moment = 1.1 μB/cell; total energy = -2.06 eV/atom; formation energy from the elements = -0.24 eV/atom
1.0
3.799 0.000 0.000
0.000 3.799 0.000
0.000 0.000 20.714
Ca Dy Cd
5 1 4
direct
0.500 0.500 0.125
0.500 0.500 0.312
0.500 0.500 0.500
0.500 0.500 0.688
0.500 0.500 0.875
0.000 0.000 0.000
0.000 0.000 0.217
0.000 0.000 0.407
0.000 0.000 0.593
0.000 0.000 0.783

Record 3
Sm8Sn3Te4Pb (PBE, relaxed); formation energy (no corrections) = -17.20 eV/f.u.; volume = 31.9 A^3/atom; density of states at the Fermi level = 0.30 states/eV/atom; size of the total moment = 0.0 μB/cell; total energy = -5.20 eV/atom
1.0
8.951 0.000 -0.001
0.000 8.985 0.017
-4.476 -4.472 6.333
Sm Sn Te Pb
8 3 4 1
direct
0.248 0.741 0.993
0.248 0.741 0.496
0.254 0.261 0.507
0.745 0.741 0.993
0.255 0.259 0.007
0.746 0.739 0.493
0.752 0.259 0.504
0.752 0.259 0.007
0.500 0.500 0.000
0.500 0.500 0.500
0.000 0.500 0.500
0.500 0.000 0.000
0.500 0.000 0.500
0.000 0.000 0.000
0.000 0.000 0.500
0.000 0.500 0.000

Record 4
Ac2Zn3Cu12Rh (PBE, relaxed); volume = 17.2 A^3/atom; density of states at the Fermi level = 0.36 states/eV/atom; size of the total moment = 0.0 μB/cell; total energy = -3.72 eV/atom; formation energy from the elements = 0.09 eV/atom
1.0
9.585 1.975 1.401
6.451 7.360 1.401
6.451 3.755 6.483
Ac Zn Cu Rh
2 3 12 1
direct
0.650 0.650 0.650
0.350 0.350 0.350
0.500 0.000 0.000
0.000 0.500 0.000
0.000 0.000 0.500
0.417 0.417 0.806
0.938 0.938 0.349
0.349 0.938 0.938
0.806 0.417 0.417
0.938 0.349 0.938
0.417 0.806 0.417
0.583 0.583 0.194
0.062 0.062 0.651
0.651 0.062 0.062
0.194 0.583 0.583
0.062 0.651 0.062
0.583 0.194 0.583
0.000 0.000 0.000

Record 5
Zn2SiPd (PBE, relaxed); formation energy (no corrections) = -0.62 eV/f.u.; volume = 14.5 A^3/atom; density of states at the Fermi level = 0.27 states/eV/atom; size of the total moment = 0.0 μB/cell; total energy = -3.45 eV/atom
1.0
-3.095 1.560 -1.683
1.240 -1.265 -3.453
-1.951 -3.315 0.514
Zn Si Pd
2 1 1
direct
0.000 0.000 0.500
0.000 0.500 0.000
0.500 0.500 0.500
0.500 0.000 0.000

Record 6
ScCo2Ru (PBE, relaxed); volume = 15.3 A^3/atom; density of states at the Fermi level = 1.93 states/eV/atom; size of the total moment = 7.0 μB/cell; E above lowest polymorph = 0.459 eV per atom; total energy = -7.09 eV/atom; formation energy from the elements = 0.37 eV/atom
1.0
-2.976 -1.242 -1.701
0.967 -3.422 0.806
-5.720 -1.811 7.422
Sc Ru Co
2 2 4
direct
0.500 0.500 0.000
0.250 0.750 0.500
0.000 0.000 0.000
0.750 0.250 0.500
0.673 0.125 0.250
0.077 0.625 0.250
0.375 0.327 0.750
0.875 0.923 0.750

Record 7
AlZn2Cd (PBE, relaxed); volume = 18.4 A^3/atom; density of states at the Fermi level = 0.25 states/eV/atom; size of the total moment = 0.0 μB/cell; E above lowest polymorph = 0.115 eV per atom; total energy = -1.63 eV/atom; formation energy from the elements = 0.17 eV/atom
1.0
-2.952 -2.477 -2.691
1.653 -3.417 -2.772
-0.900 -4.498 1.024
Zn Al Cd
2 1 1
direct
0.000 0.000 0.000
0.250 0.250 0.250
0.500 0.500 0.500
0.750 0.750 0.750

Record 8
Tl2In7Bi3 (PBE, relaxed); volume = 30.2 A^3/atom; density of states at the Fermi level = 0.34 states/eV/atom; size of the total moment = 0.0 μB/cell; total energy = -2.93 eV/atom; formation energy from the elements = 0.03 eV/atom
1.0
3.434 0.000 0.000
0.000 5.985 -0.457
0.000 -1.933 17.772
Tl In Bi
2 7 3
direct
0.500 0.650 0.334
0.500 0.350 0.666
0.500 0.762 0.521
0.500 0.238 0.479
0.000 0.748 0.159
0.000 0.000 0.000
0.000 0.252 0.841
0.500 0.747 0.839
0.500 0.253 0.161
0.500 0.500 0.000
0.000 0.145 0.325
0.000 0.855 0.675

Record 9
RbSr2Y2 (PBE, relaxed); volume = 48.9 A^3/atom; density of states at the Fermi level = 1.29 states/eV/atom; size of the total moment = 4.3 μB/cell; E above lowest polymorph = 0.022 eV per atom; total energy = -3.05 eV/atom; formation energy from the elements = 0.40 eV/atom
1.0
11.245 0.000 0.000
0.000 11.245 0.000
0.000 0.000 3.865
Y Sr Rb
4 4 2
direct
0.107 0.607 0.500
0.607 0.893 0.500
0.893 0.393 0.500
0.393 0.107 0.500
0.322 0.822 0.000
0.822 0.678 0.000
0.678 0.178 0.000
0.178 0.322 0.000
0.000 0.000 0.000
0.500 0.500 0.000

Record 10
LiHo4Mg2 (PBE, relaxed); volume = 29.0 A^3/atom; density of states at the Fermi level = 1.61 states/eV/atom; size of the total moment = 0.0 μB/cell; total energy = -3.14 eV/atom; formation energy from the elements = 0.20 eV/atom
1.0
5.033 0.000 1.573
2.271 4.492 1.573
-0.037 -0.023 8.960
Li Ho Mg
1 4 2
direct
0.000 0.000 0.000
0.872 0.872 0.384
0.128 0.128 0.616
0.619 0.619 0.143
0.381 0.381 0.857
0.745 0.745 0.765
0.255 0.255 0.235

Record 11
AcPm2Ho5Er (PBE, relaxed); volume = 33.6 A^3/atom; density of states at the Fermi level = 1.06 states/eV/atom; size of the total moment = 0.0 μB/cell; total energy = -4.30 eV/atom; formation energy from the elements = 0.26 eV/atom
1.0
-2.678 5.135 -6.689
-6.826 2.800 4.883
9.070 1.823 3.619
Ac Pm Ho Er
2 4 10 2
direct
0.250 0.250 0.500
0.750 0.750 0.500
0.116 0.384 0.000
0.616 0.116 0.000
0.384 0.884 0.000
0.884 0.616 0.000
0.926 0.426 0.264
0.661 0.161 0.736
0.074 0.574 0.736
0.161 0.074 0.736
0.574 0.661 0.736
0.839 0.926 0.264
0.426 0.339 0.264
0.339 0.839 0.264
0.500 0.500 0.000
0.000 0.000 0.000
0.250 0.750 0.500
0.750 0.250 0.500

Record 12
Mn2TlSe (PBE, relaxed); formation energy (no corrections) = 0.92 eV/f.u.; volume = 19.8 A^3/atom; density of states at the Fermi level = 0.74 states/eV/atom; size of the total moment = 5.9 μB/cell; E above lowest polymorph = 0.113 eV per atom; total energy = -5.82 eV/atom
1.0
-0.893 -8.456 -2.831
2.206 -7.914 -3.580
1.403 -8.832 -0.585
Mn Se Tl
2 1 1
direct
0.986 0.986 0.986
0.247 0.247 0.247
0.525 0.525 0.525
0.742 0.742 0.742

Look up the size of the total moment of the sixth one. 7.0 μB/cell

Which of these has the lowest density of states at the Fermi level? AlZn2Cd

Copy entry 11 word for word.
AcPm2Ho5Er (PBE, relaxed); volume = 33.6 A^3/atom; density of states at the Fermi level = 1.06 states/eV/atom; size of the total moment = 0.0 μB/cell; total energy = -4.30 eV/atom; formation energy from the elements = 0.26 eV/atom
1.0
-2.678 5.135 -6.689
-6.826 2.800 4.883
9.070 1.823 3.619
Ac Pm Ho Er
2 4 10 2
direct
0.250 0.250 0.500
0.750 0.750 0.500
0.116 0.384 0.000
0.616 0.116 0.000
0.384 0.884 0.000
0.884 0.616 0.000
0.926 0.426 0.264
0.661 0.161 0.736
0.074 0.574 0.736
0.161 0.074 0.736
0.574 0.661 0.736
0.839 0.926 0.264
0.426 0.339 0.264
0.339 0.839 0.264
0.500 0.500 0.000
0.000 0.000 0.000
0.250 0.750 0.500
0.750 0.250 0.500

Repeat the third record exactly.
Sm8Sn3Te4Pb (PBE, relaxed); formation energy (no corrections) = -17.20 eV/f.u.; volume = 31.9 A^3/atom; density of states at the Fermi level = 0.30 states/eV/atom; size of the total moment = 0.0 μB/cell; total energy = -5.20 eV/atom
1.0
8.951 0.000 -0.001
0.000 8.985 0.017
-4.476 -4.472 6.333
Sm Sn Te Pb
8 3 4 1
direct
0.248 0.741 0.993
0.248 0.741 0.496
0.254 0.261 0.507
0.745 0.741 0.993
0.255 0.259 0.007
0.746 0.739 0.493
0.752 0.259 0.504
0.752 0.259 0.007
0.500 0.500 0.000
0.500 0.500 0.500
0.000 0.500 0.500
0.500 0.000 0.000
0.500 0.000 0.500
0.000 0.000 0.000
0.000 0.000 0.500
0.000 0.500 0.000